Density functional theory data (SCAN) for Mg2SbPb at its PBEsol-relaxed geometry. Values from VASP.

Values from the calculation:
Total moment: 0.00 μB/cell
Energy relative to the elements, uncorrected: -0.16 eV per atom
Relative energy among the computed polymorphs: 0.016 eV per atom
Crystal system: tetragonal

Geometry as Quantum ESPRESSO input:
```
&SYSTEM
  ibrav = 0, nat = 4, ntyp = 3
/
ATOMIC_SPECIES
Pb 207.20 Pb.upf
Sb 121.76 Sb.upf
Mg 24.30 Mg.upf
ATOMIC_POSITIONS crystal
Pb 0.500 0.500 0.500
Sb 0.500 0.000 0.000
Mg 0.000 0.000 0.500
Mg 0.000 0.500 0.000
CELL_PARAMETERS angstrom
4.220 0.000 0.000
0.000 4.822 0.000
0.000 0.000 4.822
```

=====

Density functional theory data (SCAN) for TlRu3 at its PBEsol-relaxed geometry. Values from VASP.

Values from the calculation:
Total moment: 0.00 μB/cell
Relative energy among the computed polymorphs: 0.000 eV per atom
Crystal system: hexagonal

Geometry as Quantum ESPRESSO input:
```
&SYSTEM
  ibrav = 0, nat = 4, ntyp = 2
/
ATOMIC_SPECIES
Ru 101.07 Ru.upf
Tl 204.38 Tl.upf
ATOMIC_POSITIONS crystal
Ru 0.000 0.000 0.228
Ru 0.000 0.000 0.772
Ru 0.333 0.667 0.000
Tl 0.333 0.667 0.500
CELL_PARAMETERS angstrom
2.834 0.000 0.000
-1.417 2.454 0.000
0.000 0.000 8.788
```

=====

Density functional theory data (SCAN) for CsLiAl2Sb at its PBEsol-relaxed geometry. Values from VASP.

Values from the calculation:
Total moment: 0.00 μB/cell
Energy relative to the elements, uncorrected: 0.59 eV per atom
Crystal system: tetragonal

Geometry as Quantum ESPRESSO input:
```
&SYSTEM
  ibrav = 0, nat = 5, ntyp = 4
/
ATOMIC_SPECIES
Cs 132.91 Cs.upf
Sb 121.76 Sb.upf
Al 26.98 Al.upf
Li 6.94 Li.upf
ATOMIC_POSITIONS crystal
Cs 0.000 0.000 0.500
Sb 0.500 0.500 0.500
Al 0.000 0.500 0.000
Al 0.500 0.000 0.000
Li 0.000 0.000 0.000
CELL_PARAMETERS angstrom
5.066 0.000 0.000
0.000 5.066 0.000
0.000 0.000 5.309
```

=====

Density functional theory data (SCAN) for Rb2Sr2N at its PBEsol-relaxed geometry. Values from VASP.

Values from the calculation:
Total moment: 1.25 μB/cell
Energy relative to the elements, uncorrected: 0.97 eV per atom
Crystal system: tetragonal

Geometry as Quantum ESPRESSO input:
```
&SYSTEM
  ibrav = 0, nat = 5, ntyp = 3
/
ATOMIC_SPECIES
Sr 87.62 Sr.upf
Rb 85.47 Rb.upf
N 14.01 N.upf
ATOMIC_POSITIONS crystal
Sr 0.250 0.750 0.500
Sr 0.750 0.250 0.500
Rb 0.424 0.424 0.847
Rb 0.576 0.576 0.153
N 0.000 0.000 0.000
CELL_PARAMETERS angstrom
-0.546 -2.050 -4.455
4.849 -0.892 -0.183
-3.858 -8.817 7.263
```

=====

Density functional theory data (SCAN) for HfMgNb3 at its PBEsol-relaxed geometry. Values from VASP.

Values from the calculation:
Total moment: 0.00 μB/cell
Electronic total energy: -32.039 eV per atom
Crystal system: cubic

Geometry as Quantum ESPRESSO input:
```
&SYSTEM
  ibrav = 0, nat = 5, ntyp = 3
/
ATOMIC_SPECIES
Nb 92.91 Nb.upf
Hf 178.49 Hf.upf
Mg 24.30 Mg.upf
ATOMIC_POSITIONS crystal
Nb 0.000 0.500 0.000
Nb 0.000 0.000 0.500
Nb 0.500 0.000 0.000
Hf 0.000 0.000 0.000
Mg 0.500 0.500 0.500
CELL_PARAMETERS angstrom
4.883 0.000 0.000
0.000 4.883 0.000
0.000 0.000 4.883
```

=====

Density functional theory data (SCAN) for ZrSc2Br at its PBEsol-relaxed geometry. Values from VASP.

Values from the calculation:
Total moment: 0.76 μB/cell
Energy relative to the elements, uncorrected: -0.38 eV per atom
Crystal system: trigonal

Geometry as Quantum ESPRESSO input:
```
&SYSTEM
  ibrav = 0, nat = 4, ntyp = 3
/
ATOMIC_SPECIES
Br 79.90 Br.upf
Sc 44.96 Sc.upf
Zr 91.22 Zr.upf
ATOMIC_POSITIONS crystal
Br 0.249 0.249 0.254
Sc 0.994 0.994 0.017
Sc 0.751 0.751 0.746
Zr 0.505 0.505 0.484
CELL_PARAMETERS angstrom
3.319 0.000 0.000
1.660 2.875 0.000
1.660 0.958 9.322
```

=====

- What is the formula in the third record?
  CsLiAl2Sb